Compound: Na2CeS2Br2
Source: Alexandria
Functional: GGA-PBE
Structure: optimized geometry

Cell and atoms, written as POSCAR:
```
Na2CeS2Br2
1.0
-2.6608 2.6608 7.5021
2.6608 -2.6608 7.5021
2.6608 2.6608 -7.5021
Na Ce S Br
2 1 2 2
Direct
0.1178 0.1178 0.0000
0.8822 0.8822 0.0000
0.5000 0.5000 0.0000
0.0000 0.5000 0.5000
0.5000 0.0000 0.5000
0.3107 0.3107 0.0000
0.6893 0.6893 0.0000
```

Total magnetization ... 0.14 μB per formula unit
Final energy ... -30.644 eV/cell
SG ... I4/mmm, No. 139